TlNiIO6 | GGA+U | relaxed

Summary:
For the electronic total energy, the calculation gives -4.600 eV/atom. Its crystal system is trigonal. Its space group is P312, No. 149. As for the total magnetization: 1.97 μB/cell.

Unit cell a=5.2248 b=5.2248 c=4.7904 alpha=90.00 beta=90.00 gamma=60.00
Closest atoms and distances in Å follow each position.
Fractional positions:
O1 0.0191 0.3551 0.2762  1 I 1.92, 1 Ni 2.05
O2 0.6258 0.0191 0.2762  1 I 1.92, 1 Ni 2.05
O3 0.3550 0.0191 0.7238  1 I 1.92, 1 Ni 2.05
O4 0.6258 0.3551 0.7238  1 I 1.92, 1 Ni 2.05
O5 0.0191 0.6258 0.7238  1 I 1.92, 1 Ni 2.05
O6 0.3550 0.6258 0.2762  1 I 1.92, 1 Ni 2.05
I1 0.3333 0.3333 0.5000  6 O 1.92
Tl1 0.0000 0.0000 0.0000  6 O 2.32
Ni1 0.6666 0.6667 0.5000  6 O 2.05